Compound: LaBeTe2I
Source: the Alexandria database
Functional: GGA-PBEsol
Structure: relaxed

The value obtained for the energy relative to the lowest polymorph listed for this composition is 843 meV per atom. For the formation energy (no corrections), the calculation gives 0.286 eV/atom.

The structure belongs to space group P4/mmm (No. 123); the cell edges are 6.109, 6.109 and 6.095 Å and the angles 90.00°, 90.00° and 90.00°. The distinct sites, in fractional coordinates, are La at (0.000, 0.000, 0.000), Be at (0.500, 0.500, 0.500), Te at (0.000, 0.500, 0.000) and I at (0.000, 0.000, 0.500).


Compound: LiBeI2
Source: the Alexandria database
Functional: GGA-PBEsol
Structure: relaxed

For the formation energy (no corrections), the calculation gives 0.092 eV/atom.

The structure belongs to space group Fm-3m (No. 225); the cell edges are 7.316, 7.316 and 7.316 Å and the angles 90.00°, 90.00° and 90.00°. The distinct sites, in fractional coordinates, are Li at (0.000, 0.000, 0.000), Be at (0.000, 0.000, 0.500) and I at (0.250, 0.250, 0.250).


Compound: LiMgBeI2
Source: the Alexandria database
Functional: GGA-PBEsol
Structure: relaxed

For the formation energy (no corrections), the calculation gives 0.471 eV/atom.

The structure belongs to space group P4/mmm (No. 123); the cell edges are 5.594, 5.594 and 6.044 Å and the angles 90.00°, 90.00° and 90.00°. The distinct sites, in fractional coordinates, are Li at (0.000, 0.000, 0.000), Mg at (0.000, 0.000, 0.500), Be at (0.500, 0.500, 0.000) and I at (0.000, 0.500, 0.500).


Compound: LiBeSbI2
Source: the Alexandria database
Functional: GGA-PBEsol
Structure: relaxed

For the formation energy (no corrections), the calculation gives 0.608 eV/atom.

The structure belongs to space group P4/mmm (No. 123); the cell edges are 5.227, 5.227 and 5.063 Å and the angles 90.00°, 90.00° and 90.00°. The distinct sites, in fractional coordinates, are Li at (0.000, 0.000, 0.000), Be at (0.500, 0.500, 0.500), Sb at (0.000, 0.000, 0.500) and I at (0.000, 0.500, 0.000).


Compound: Mg2BeNbI
Source: the Alexandria database
Functional: GGA-PBEsol
Structure: relaxed

For the formation energy (no corrections), the calculation gives 1.214 eV/atom.

The structure belongs to space group P4/mmm (No. 123); the cell edges are 5.664, 5.664 and 4.349 Å and the angles 90.00°, 90.00° and 90.00°. The distinct sites, in fractional coordinates, are Mg at (0.000, 0.500, 0.000), Be at (0.000, 0.000, 0.500), Nb at (0.000, 0.000, 0.000) and I at (0.500, 0.500, 0.500).


Compound: MgBeSb2I
Source: the Alexandria database
Functional: GGA-PBEsol
Structure: relaxed

For the formation energy (no corrections), the calculation gives 0.835 eV/atom.

The structure belongs to space group P4/mmm (No. 123); the cell edges are 5.429, 5.429 and 4.752 Å and the angles 90.00°, 90.00° and 90.00°. The distinct sites, in fractional coordinates, are Mg at (0.000, 0.000, 0.000), Be at (0.000, 0.000, 0.500), Sb at (0.000, 0.500, 0.000) and I at (0.500, 0.500, 0.500).


Compound: MnBeSb2I
Source: the Alexandria database
Functional: GGA-PBEsol
Structure: relaxed

For the formation energy (no corrections), the calculation gives 0.787 eV/atom.

The structure belongs to space group P4/mmm (No. 123); the cell edges are 4.814, 4.814 and 5.290 Å and the angles 90.00°, 90.00° and 90.00°. The distinct sites, in fractional coordinates, are Mn at (0.000, 0.000, 0.000), Be at (0.500, 0.500, 0.500), Sb at (0.000, 0.500, 0.500) and I at (0.500, 0.500, 0.000).


Compound: BeTeMoI2
Source: the Alexandria database
Functional: GGA-PBEsol
Structure: relaxed

For the formation energy (no corrections), the calculation gives 0.895 eV/atom.

The structure belongs to space group P4/mmm (No. 123); the cell edges are 5.513, 5.513 and 5.161 Å and the angles 90.00°, 90.00° and 90.00°. The distinct sites, in fractional coordinates, are Be at (0.000, 0.000, 0.000), Te at (0.500, 0.500, 0.000), Mo at (0.500, 0.500, 0.500) and I at (0.000, 0.500, 0.500).


Compound: BeINO2
Source: the Alexandria database
Functional: GGA-PBEsol
Structure: relaxed

For the formation energy (no corrections), the calculation gives 0.937 eV/atom.

The structure belongs to space group P4/mmm (No. 123); the cell edges are 3.961, 3.961 and 4.214 Å and the angles 90.00°, 90.00° and 90.00°. The distinct sites, in fractional coordinates, are Be at (0.000, 0.000, 0.000), I at (0.500, 0.500, 0.500), N at (0.500, 0.500, 0.000) and O at (0.000, 0.500, 0.500).


Compound: BeI2NO
Source: the Alexandria database
Functional: GGA-PBEsol
Structure: relaxed

For the formation energy (no corrections), the calculation gives 0.780 eV/atom.

The structure belongs to space group P4/mmm (No. 123); the cell edges are 5.457, 5.457 and 3.072 Å and the angles 90.00°, 90.00° and 90.00°. The distinct sites, in fractional coordinates, are Be at (0.000, 0.000, 0.000), I at (0.000, 0.500, 0.000), N at (0.000, 0.000, 0.500) and O at (0.500, 0.500, 0.500).


Compound: BeReIN2
Source: the Alexandria database
Functional: GGA-PBEsol
Structure: relaxed

For the formation energy (no corrections), the calculation gives 1.977 eV/atom.

The structure belongs to space group P4/mmm (No. 123); the cell edges are 3.700, 3.700 and 4.714 Å and the angles 90.00°, 90.00° and 90.00°. The distinct sites, in fractional coordinates, are Be at (0.000, 0.000, 0.000), Re at (0.500, 0.500, 0.500), I at (0.000, 0.000, 0.500) and N at (0.000, 0.500, 0.000).


Compound: BeReI2N
Source: the Alexandria database
Functional: GGA-PBEsol
Structure: relaxed

For the formation energy (no corrections), the calculation gives 1.154 eV/atom.

The structure belongs to space group P4/mmm (No. 123); the cell edges are 5.174, 5.174 and 3.124 Å and the angles 90.00°, 90.00° and 90.00°. The distinct sites, in fractional coordinates, are Be at (0.000, 0.000, 0.000), Re at (0.500, 0.500, 0.500), I at (0.000, 0.500, 0.000) and N at (0.000, 0.000, 0.500).


Compound: BeS2IN
Source: the Alexandria database
Functional: GGA-PBEsol
Structure: relaxed

For the formation energy (no corrections), the calculation gives 1.560 eV/atom.

The structure belongs to space group P4/mmm (No. 123); the cell edges are 5.076, 5.076 and 3.857 Å and the angles 90.00°, 90.00° and 90.00°. The distinct sites, in fractional coordinates, are Be at (0.000, 0.000, 0.000), S at (0.000, 0.500, 0.500), I at (0.500, 0.500, 0.500) and N at (0.500, 0.500, 0.000).


Compound: TaBeI2N
Source: the Alexandria database
Functional: GGA-PBEsol
Structure: relaxed

For the formation energy (no corrections), the calculation gives 0.499 eV/atom.

The structure belongs to space group P4/mmm (No. 123); the cell edges are 5.565, 5.565 and 3.884 Å and the angles 90.00°, 90.00° and 90.00°. The distinct sites, in fractional coordinates, are Ta at (0.000, 0.000, 0.000), Be at (0.500, 0.500, 0.500), I at (0.000, 0.500, 0.000) and N at (0.000, 0.000, 0.500).


Compound: BeTlIN2
Source: the Alexandria database
Functional: GGA-PBEsol
Structure: relaxed

For the formation energy (no corrections), the calculation gives 1.989 eV/atom.

The structure belongs to space group P4/mmm (No. 123); the cell edges are 4.137, 4.137 and 6.991 Å and the angles 90.00°, 90.00° and 90.00°. The distinct sites, in fractional coordinates, are Be at (0.000, 0.000, 0.000), Tl at (0.500, 0.500, 0.500), I at (0.500, 0.500, 0.000) and N at (0.000, 0.500, 0.500).


Compound: Y2BeIN
Source: the Alexandria database
Functional: GGA-PBEsol
Structure: relaxed

For the formation energy (no corrections), the calculation gives -0.661 eV/atom.

The structure belongs to space group P4/mmm (No. 123); the cell edges are 5.094, 5.094 and 3.423 Å and the angles 90.00°, 90.00° and 90.00°. The distinct sites, in fractional coordinates, are Y at (0.000, 0.500, 0.000), Be at (0.000, 0.000, 0.500), I at (0.500, 0.500, 0.500) and N at (0.000, 0.000, 0.000).


Compound: BeZnI2N
Source: the Alexandria database
Functional: GGA-PBEsol
Structure: relaxed

For the formation energy (no corrections), the calculation gives 0.403 eV/atom.

The structure belongs to space group P4/mmm (No. 123); the cell edges are 5.994, 5.994 and 3.072 Å and the angles 90.00°, 90.00° and 90.00°. The distinct sites, in fractional coordinates, are Be at (0.000, 0.000, 0.000), Zn at (0.500, 0.500, 0.500), I at (0.000, 0.500, 0.000) and N at (0.000, 0.000, 0.500).


Compound: ZrBeIN2
Source: the Alexandria database
Functional: GGA-PBEsol
Structure: relaxed

For the formation energy (no corrections), the calculation gives 0.905 eV/atom.

The structure belongs to space group P4/mmm (No. 123); the cell edges are 3.860, 3.860 and 4.642 Å and the angles 90.00°, 90.00° and 90.00°. The distinct sites, in fractional coordinates, are Zr at (0.000, 0.000, 0.000), Be at (0.500, 0.500, 0.500), I at (0.500, 0.500, 0.000) and N at (0.000, 0.500, 0.500).


Compound: ZrBeI2N
Source: the Alexandria database
Functional: GGA-PBEsol
Structure: relaxed

For the formation energy (no corrections), the calculation gives 0.253 eV/atom.

The structure belongs to space group P4/mmm (No. 123); the cell edges are 5.808, 5.808 and 3.937 Å and the angles 90.00°, 90.00° and 90.00°. The distinct sites, in fractional coordinates, are Zr at (0.000, 0.000, 0.000), Be at (0.500, 0.500, 0.500), I at (0.000, 0.500, 0.000) and N at (0.000, 0.000, 0.500).


Compound: Na3BeI
Source: the Alexandria database
Functional: GGA-PBEsol
Structure: relaxed

For the formation energy (no corrections), the calculation gives 0.230 eV/atom.

The structure belongs to space group Pm-3m (No. 221); the cell edges are 5.437, 5.437 and 5.437 Å and the angles 90.00°, 90.00° and 90.00°. The distinct sites, in fractional coordinates, are Na at (0.000, 0.000, 0.500), Be at (0.000, 0.000, 0.000) and I at (0.500, 0.500, 0.500).


Compound: BeIO2
Source: the Alexandria database
Functional: GGA-PBEsol
Structure: relaxed

The value obtained for the energy relative to the lowest polymorph listed for this composition is 0 meV per atom. For the formation energy (no corrections), the calculation gives -0.351 eV/atom.

The structure belongs to space group R-3m (No. 166, hexagonal axes); the cell edges are 3.1966, 3.1966 and 19.5358 Å and the angles 90.00°, 90.00° and 120.00°. The distinct sites, in fractional coordinates, are Be at (0.0000, 0.0000, 0.0000), I at (0.0000, 0.0000, 0.5000) and O at (0.0000, 0.0000, 0.0745).


Compound: BeIO2
Source: the Alexandria database
Functional: GGA-PBEsol
Structure: relaxed

The value obtained for the energy relative to the lowest polymorph listed for this composition is 938 meV per atom. For the formation energy (no corrections), the calculation gives 0.588 eV/atom.

The structure belongs to space group Fm-3m (No. 225); the cell edges are 5.736, 5.736 and 5.736 Å and the angles 90.00°, 90.00° and 90.00°. The distinct sites, in fractional coordinates, are Be at (0.000, 0.000, 0.000), I at (0.000, 0.000, 0.500) and O at (0.250, 0.250, 0.250).


Compound: BeI2O
Source: the Alexandria database
Functional: GGA-PBEsol
Structure: relaxed

For the formation energy (no corrections), the calculation gives 0.257 eV/atom.

The structure belongs to space group I-42d (No. 122); the cell edges are 6.528, 6.528 and 8.820 Å and the angles 90.00°, 90.00° and 90.00°. The distinct sites, in fractional coordinates, are Be at (0.000, 0.000, 0.000), I at (0.213, 0.750, 0.125) and O at (0.000, 0.000, 0.500).


Compound: BeI2O2
Source: the Alexandria database
Functional: GGA-PBEsol
Structure: relaxed

For the formation energy (no corrections), the calculation gives 0.251 eV/atom.

The structure belongs to space group P4/mmm (No. 123); the cell edges are 4.026, 4.026 and 5.259 Å and the angles 90.00°, 90.00° and 90.00°. The distinct sites, in fractional coordinates, are Be at (0.000, 0.000, 0.000), I at (0.000, 0.000, 0.500), I at (0.500, 0.500, 0.500) and O at (0.000, 0.500, 0.000).


Compound: BePbIO2
Source: the Alexandria database
Functional: GGA-PBEsol
Structure: relaxed

For the formation energy (no corrections), the calculation gives -0.169 eV/atom.

The structure belongs to space group P4/mmm (No. 123); the cell edges are 4.107, 4.107 and 4.873 Å and the angles 90.00°, 90.00° and 90.00°. The distinct sites, in fractional coordinates, are Be at (0.000, 0.000, 0.000), Pb at (0.500, 0.500, 0.500), I at (0.000, 0.000, 0.500) and O at (0.000, 0.500, 0.000).


Compound: BeRuI2O
Source: the Alexandria database
Functional: GGA-PBEsol
Structure: relaxed

For the formation energy (no corrections), the calculation gives -0.019 eV/atom.

The structure belongs to space group P4/mmm (No. 123); the cell edges are 5.264, 5.264 and 3.043 Å and the angles 90.00°, 90.00° and 90.00°. The distinct sites, in fractional coordinates, are Be at (0.000, 0.000, 0.000), Ru at (0.500, 0.500, 0.500), I at (0.000, 0.500, 0.000) and O at (0.000, 0.000, 0.500).


Compound: BeSI2O
Source: the Alexandria database
Functional: GGA-PBEsol
Structure: relaxed

For the formation energy (no corrections), the calculation gives -0.334 eV/atom.

The structure belongs to space group P4/mmm (No. 123); the cell edges are 6.024, 6.024 and 2.896 Å and the angles 90.00°, 90.00° and 90.00°. The distinct sites, in fractional coordinates, are Be at (0.000, 0.000, 0.000), S at (0.500, 0.500, 0.500), I at (0.000, 0.500, 0.000) and O at (0.000, 0.000, 0.500).


Compound: Be2SIO
Source: the Alexandria database
Functional: GGA-PBEsol
Structure: relaxed

For the formation energy (no corrections), the calculation gives 0.143 eV/atom.

The structure belongs to space group P4/mmm (No. 123); the cell edges are 4.379, 4.379 and 3.621 Å and the angles 90.00°, 90.00° and 90.00°. The distinct sites, in fractional coordinates, are Be at (0.000, 0.500, 0.000), S at (0.000, 0.000, 0.000), I at (0.500, 0.500, 0.500) and O at (0.000, 0.000, 0.500).


Compound: BeSbI2O
Source: the Alexandria database
Functional: GGA-PBEsol
Structure: relaxed

For the formation energy (no corrections), the calculation gives 0.277 eV/atom.

The structure belongs to space group P4/mmm (No. 123); the cell edges are 5.972, 5.972 and 4.038 Å and the angles 90.00°, 90.00° and 90.00°. The distinct sites, in fractional coordinates, are Be at (0.000, 0.000, 0.000), Sb at (0.500, 0.500, 0.500), I at (0.000, 0.500, 0.500) and O at (0.500, 0.500, 0.000).